Nd5Pa | Alexandria via LeMat-Bulk | GGA-PBE | relaxed; E_tot = -5.39 eV/atom; DFT formation energy = 165 meV per atom; magnetic moment = 0.0001 μB/atom
1.0
5.100 0.000 0.000
0.000 15.314 0.000
0.000 0.000 5.080
Nd Pa
10 2
direct
0.000 0.000 0.000
0.000 0.158 0.500
0.000 0.343 0.000
0.000 0.657 0.000
0.000 0.842 0.500
0.500 0.157 0.000
0.500 0.342 0.500
0.500 0.500 0.000
0.500 0.658 0.500
0.500 0.843 0.000
0.000 0.500 0.500
0.500 0.000 0.500